Material: Sr2AlFe4
Method: DFT, GGA-PBE
State: relaxed

D(E_F): 12.282 states/eV per cell
spin magnetization: 10.1 μB/f.u.
energy relative to the elements: 0.86 eV per atom
ρ: 4.18 g cm⁻³

Cell: 8.6161 8.6161 8.6161 Å, 149.01 149.01 44.39°
Fractional coordinates of all 7 atoms:
Sr  0.1468  0.1468  0.0000
Sr  0.8532  0.8532  0.0000
Al  0.5000  0.5000  0.0000
Fe  0.0000  0.5000  0.5000
Fe  0.3578  0.3578  0.0000
Fe  0.5000  0.0000  0.5000
Fe  0.6422  0.6422  0.0000